Here is a geometry-optimized Tl4In5Ga2 structure from Alexandria via LeMat-Bulk. Energies are from GGA-PBE.

Unit cell a=7.946 b=4.388 c=9.070 alpha=90.00 beta=97.60 gamma=90.00
Fractional positions:
Tl1 0.199 0.000 0.365
Tl2 0.229 0.000 0.923
Tl3 0.771 0.000 0.077
Tl4 0.801 0.000 0.635
In1 0.148 0.500 0.642
In2 0.459 0.500 0.163
In3 0.500 0.500 0.500
In4 0.541 0.500 0.837
In5 0.852 0.500 0.358
Ga1 0.087 0.500 0.132
Ga2 0.913 0.500 0.868

Computed properties:
* space-group type: P2/m (10)
* VASP energy: -28.3 eV for the cell shown
* size of the total moment: 0.00 μB per cell


Here is a geometry-optimized TlInGa structure from Alexandria via LeMat-Bulk. Energies are from GGA-PBE.

Unit cell a=7.047 b=7.047 c=7.047 alpha=151.87 beta=151.87 gamma=40.21
Fractional positions:
Tl1 0.000 0.000 0.000
In1 0.309 0.309 0.000
Ga1 0.666 0.666 0.000

Computed properties:
* space-group type: I4mm (107)
* VASP energy: -8.0 eV for the cell shown
* size of the total moment: 0.00 μB per cell


Here is a geometry-optimized TlIn6Ga2 structure from Alexandria via LeMat-Bulk. Energies are from GGA-PBE.

Unit cell a=3.398 b=3.398 c=23.779 alpha=90.00 beta=90.00 gamma=120.00
Fractional positions:
Tl1 0.000 0.000 0.000
In1 0.000 0.000 0.236
In2 0.000 0.000 0.436
In3 0.000 0.000 0.564
In4 0.000 0.000 0.764
In5 0.667 0.333 0.122
In6 0.667 0.333 0.878
Ga1 0.667 0.333 0.338
Ga2 0.667 0.333 0.662

Computed properties:
* space-group type: P-6m2 (187)
* VASP energy: -24.5 eV for the cell shown
* size of the total moment: 0.00 μB per cell